Material: Pr4Nd4Sm3
Method: DFT, PBE
State: relaxed

- energy relative to the elements (eV per atom) = 0.126
- total DFT energy (no corrections) (eV/atom) = -4.633

abc: 12.313 12.313 12.313
angles: 162.84 133.66 49.77
Atoms (fractional coordinates):
1 Pr 0.031 0.856 0.175
2 Pr 0.320 0.144 0.175
3 Pr 0.680 0.856 0.825
4 Pr 0.969 0.144 0.825
5 Nd 0.261 0.761 0.500
6 Nd 0.314 0.000 0.314
7 Nd 0.686 0.000 0.686
8 Nd 0.739 0.239 0.500
9 Sm 0.000 0.500 0.500
10 Sm 0.393 0.393 0.000
11 Sm 0.607 0.607 0.000